# 1
Density functional theory data (GGA-PBE) for CdCoTe4 after structural relaxation.

The space group is F-43m (No. 216) and the conventional cell measures 8.9741, 8.9741 and 8.9741 Å, with angles of 90.00, 90.00 and 90.00 degrees. Symmetry generates all atoms from Cd at (0.0000, 0.0000, 0.0000), Co at (0.2500, 0.2500, 0.7500) and Te at (0.1249, 0.1249, 0.3751).



# 2
Density functional theory data (GGA-PBE) for CdCo2Te after structural relaxation.

The space group is Pmm2 (No. 25) and the conventional cell measures 3.1547, 3.1932 and 7.3893 Å, with angles of 90.00, 90.00 and 90.00 degrees. Symmetry generates all atoms from Cd at (0.0000, 0.0000, 0.0000), Co at (0.0000, 0.0000, 0.3809), Co at (0.5000, 0.5000, 0.2147) and Te at (0.5000, 0.5000, 0.5626).

The energy above the most stable polymorph in this dataset comes out at 68 meV/atom.



# 3
Density functional theory data (GGA-PBE) for Cd3CoTe after structural relaxation.

The space group is Pm-3m (No. 221) and the conventional cell measures 5.0389, 5.0389 and 5.0389 Å, with angles of 90.00, 90.00 and 90.00 degrees. Symmetry generates all atoms from Cd at (0.0000, 0.0000, 0.5000), Co at (0.0000, 0.0000, 0.0000) and Te at (0.5000, 0.5000, 0.5000).

The energy above the most stable polymorph in this dataset comes out at 0 meV/atom.



# 4
Density functional theory data (GGA-PBE) for CdCo4Te after structural relaxation.

The space group is F-43m (No. 216) and the conventional cell measures 7.0599, 7.0599 and 7.0599 Å, with angles of 90.00, 90.00 and 90.00 degrees. Symmetry generates all atoms from Cd at (0.0000, 0.0000, 0.0000), Co at (0.1253, 0.1253, 0.3747) and Te at (0.2500, 0.2500, 0.7500).



# 5
Density functional theory data (GGA-PBE) for CdCo2Te after structural relaxation.

The space group is Imm2 (No. 44) and the conventional cell measures 2.9841, 4.3875 and 11.0379 Å, with angles of 90.00, 90.00 and 90.00 degrees. Symmetry generates all atoms from Cd at (0.0000, 0.0000, 0.0000), Co at (0.0000, 0.0000, 0.4794), Co at (0.0000, 0.5000, 0.1545) and Te at (0.0000, 0.5000, 0.7772).

The energy above the most stable polymorph in this dataset comes out at 176 meV/atom.



# 6
Density functional theory data (GGA-PBE) for CdCo2Te after structural relaxation.

The space group is Pm (No. 6) and the conventional cell measures 3.6882, 3.9081 and 5.1211 Å, with angles of 90.00, 111.05 and 90.00 degrees. Symmetry generates all atoms from Cd at (0.0000, 0.0000, 0.0000), Co at (0.5786, 0.5000, 0.1576), Co at (0.7132, 0.0000, 0.4273) and Te at (0.2900, 0.5000, 0.5828).

The energy above the most stable polymorph in this dataset comes out at 86 meV/atom.



# 7
Density functional theory data (GGA-PBE) for CdCo2Te2 after structural relaxation.

The space group is I4/mmm (No. 139) and the conventional cell measures 3.7358, 3.7358 and 16.4094 Å, with angles of 90.00, 90.00 and 90.00 degrees. Symmetry generates all atoms from Cd at (0.0000, 0.0000, 0.0000), Co at (0.0000, 0.5000, 0.2500) and Te at (0.0000, 0.0000, 0.3501).



# 8
Density functional theory data (GGA-PBE) for CdCo2Te after structural relaxation.

The space group is F-43m (No. 216) and the conventional cell measures 6.5552, 6.5552 and 6.5552 Å, with angles of 90.00, 90.00 and 90.00 degrees. Symmetry generates all atoms from Cd at (0.0000, 0.0000, 0.0000), Co at (0.0000, 0.0000, 0.5000), Co at (0.2500, 0.2500, 0.2500) and Te at (0.2500, 0.2500, 0.7500).

The energy above the most stable polymorph in this dataset comes out at 483 meV/atom.



# 9
Density functional theory data (GGA-PBE) for CdCo2Te after structural relaxation.

The space group is R3m (No. 160, hexagonal axes) and the conventional cell measures 3.9791, 3.9791 and 17.3098 Å, with angles of 90.00, 90.00 and 120.00 degrees. Symmetry generates all atoms from Cd at (0.0000, 0.0000, 0.0000), Co at (0.0000, 0.0000, 0.4385), Co at (0.0000, 0.0000, 0.7631) and Te at (0.0000, 0.0000, 0.1860).

The energy above the most stable polymorph in this dataset comes out at 37 meV/atom.



# 10
Density functional theory data (GGA-PBE) for CdCo2Te after structural relaxation.

The space group is I-4m2 (No. 119) and the conventional cell measures 3.8282, 3.8282 and 8.9958 Å, with angles of 90.00, 90.00 and 90.00 degrees. Symmetry generates all atoms from Cd at (0.0000, 0.0000, 0.0000), Co at (0.0000, 0.0000, 0.5000), Co at (0.0000, 0.5000, 0.7500) and Te at (0.0000, 0.5000, 0.2500).

The energy above the most stable polymorph in this dataset comes out at 270 meV/atom.



# 11
Density functional theory data (GGA-PBE) for CdCo2Te after structural relaxation.

The space group is Fm-3m (No. 225) and the conventional cell measures 6.3270, 6.3270 and 6.3270 Å, with angles of 90.00, 90.00 and 90.00 degrees. Symmetry generates all atoms from Cd at (0.0000, 0.0000, 0.0000), Co at (0.2500, 0.2500, 0.2500) and Te at (0.0000, 0.0000, 0.5000).

The energy above the most stable polymorph in this dataset comes out at 174 meV/atom.



# 12
Density functional theory data (GGA-PBE) for CdCoTe after structural relaxation.

The space group is I4mm (No. 107) and the conventional cell measures 3.1455, 3.1455 and 12.6670 Å, with angles of 90.00, 90.00 and 90.00 degrees. Symmetry generates all atoms from Cd at (0.0000, 0.0000, 0.0000), Co at (0.0000, 0.0000, 0.6436) and Te at (0.0000, 0.0000, 0.2501).

The energy above the most stable polymorph in this dataset comes out at 105 meV/atom.



Number 1: energy -2.61 eV/atom, ΔE_f (raw) 0.82 eV/atom. Number 2: energy -4.30 eV/atom, ΔE_f (raw) 0.26 eV/atom. Number 3: energy -2.16 eV/atom, ΔE_f (raw) 0.44 eV/atom. Number 4: energy -5.07 eV/atom, ΔE_f (raw) 0.34 eV/atom. Number 5: energy -4.19 eV/atom, ΔE_f (raw) 0.37 eV/atom. Number 6: energy -4.29 eV/atom, ΔE_f (raw) 0.28 eV/atom. Number 7: energy -4.28 eV/atom, ΔE_f (raw) 0.00 eV/atom. Number 8: energy -3.89 eV/atom, ΔE_f (raw) 0.68 eV/atom. Number 9: energy -4.33 eV/atom, ΔE_f (raw) 0.23 eV/atom. Number 10: energy -4.10 eV/atom, ΔE_f (raw) 0.47 eV/atom. Number 11: energy -4.20 eV/atom, ΔE_f (raw) 0.37 eV/atom. Number 12: energy -3.53 eV/atom, ΔE_f (raw) 0.19 eV/atom.